[1]
First-principles (PBE) data for an optimized crystal structure of SiPdNO, as listed in the Open Quantum Materials Database.

Cell: 2.9454 5.2786 6.4450 Å, 90.00 90.00 90.00°
Last column: nearest neighbours and their distance in Å.
Element x y z (fractional)
N1 0.0000 0.9097 0.2635  2 Si 1.72
N2 0.0000 0.4097 0.7365  2 Si 1.72
O1 0.5000 0.2562 0.0589  2 Si 1.63
O2 0.5000 0.7562 0.9411  2 Si 1.63
Pd1 0.0000 0.6285 0.4765  2 N 2.02-2.04
Pd2 0.0000 0.1285 0.5235  2 N 2.02-2.04
Si1 0.5000 0.9596 0.1312  2 O 1.63, 2 N 1.72
Si2 0.5000 0.4596 0.8688  2 O 1.63, 2 N 1.72

The value obtained for the final energy is -7.099 eV per atom. The relative energy among the computed polymorphs comes out at 0.0 kJ/mol of atoms.


[2]
First-principles (PBE) data for an optimized crystal structure of LaTb2S3, as listed in the Open Quantum Materials Database.

Cell: 3.9762 3.9762 9.8948 Å, 90.00 90.00 120.00°
Last column: nearest neighbours and their distance in Å.
Element x y z (fractional)
La1 0.0000 0.0000 0.0000  6 S 2.92
S1 0.3333 0.6667 0.1829  3 Tb 2.76, 3 La 2.92
S2 0.0000 0.0000 0.5000  6 Tb 2.80
S3 0.6667 0.3333 0.8171  3 Tb 2.76, 3 La 2.92
Tb1 0.6667 0.3333 0.3381  6 S 2.76-2.80
Tb2 0.3333 0.6667 0.6619  6 S 2.76-2.80

The value obtained for the magnetic moment is 0.00 μB/atom. The value obtained for the final energy is -6.494 eV per atom.


[3]
First-principles (PBE) data for an optimized crystal structure of AgTeOs2, as listed in the Open Quantum Materials Database.

Cell: 4.6000 4.6000 4.6000 Å, 60.00 60.00 60.00°
Last column: nearest neighbours and their distance in Å.
Element x y z (fractional)
Ag1 0.5000 0.5000 0.5000  4 Os 2.82, 4 Te 2.82
Os1 0.0000 0.0000 0.0000  4 Os 2.82, 4 Te 2.82
Os2 0.2500 0.2500 0.2500  4 Ag 2.82, 4 Os 2.82
Te1 0.7500 0.7500 0.7500  4 Ag 2.82, 4 Os 2.82

The value obtained for the magnetic moment is 0.00 μB/atom. The value obtained for the final energy is -6.083 eV per atom.


[4]
First-principles (PBE) data for an optimized crystal structure of YHoC2I2, as listed in the Open Quantum Materials Database.

Cell: 4.1422 4.1422 11.2408 Å, 92.94 92.94 56.07°
Last column: nearest neighbours and their distance in Å.
Element x y z (fractional)
C1 0.5776 0.5776 0.4708  1 C 1.33
C2 0.4222 0.4222 0.5269  1 C 1.33
Ho1 0.8542 0.8542 0.3785  3 C 2.33-2.59
I1 0.1765 0.1765 0.1917  3 Ho 3.09-3.25
I2 0.8241 0.8241 0.8100  3 Y 3.11-3.25
Y1 0.1453 0.1453 0.6221  3 C 2.34-2.61

The value obtained for the magnetic moment is 0.00 μB/atom. The value obtained for the final energy is -6.283 eV per atom.


[5]
First-principles (PBE) data for an optimized crystal structure of RbLaZnS3, as listed in the Open Quantum Materials Database.

Cell: 4.2836 11.4439 12.4326 Å, 90.00 90.00 90.00°
Last column: nearest neighbours and their distance in Å.
Element x y z (fractional)
La1 0.2500 0.4802 0.1706  7 S 2.89-3.10
La2 0.2500 0.9802 0.3294  7 S 2.89-3.10
La3 0.7500 0.0198 0.6706  7 S 2.89-3.10
La4 0.7500 0.5198 0.8294  7 S 2.89-3.10
Rb1 0.7500 0.1650 0.0072  7 S 3.30-3.46, 2 Zn 3.54
Rb2 0.7500 0.6650 0.4928  7 S 3.30-3.46, 2 Zn 3.54
Rb3 0.2500 0.3350 0.5072  7 S 3.30-3.46, 2 Zn 3.54
Rb4 0.2500 0.8350 0.9928  7 S 3.30-3.46, 2 Zn 3.54
S1 0.7500 0.6094 0.0597  1 Zn 2.36
S2 0.7500 0.9439 0.1773  1 Zn 2.31
S3 0.2500 0.2124 0.2075  2 Zn 2.44
S4 0.2500 0.7124 0.2925  2 Zn 2.44
S5 0.7500 0.4439 0.3227  1 Zn 2.31
S6 0.7500 0.1094 0.4403  1 Zn 2.36
S7 0.2500 0.8906 0.5597  1 Zn 2.36
S8 0.2500 0.5561 0.6773  1 Zn 2.31
S9 0.7500 0.2875 0.7075  2 Zn 2.44
S10 0.7500 0.7876 0.7925  2 Zn 2.44
S11 0.2500 0.0561 0.8227  1 Zn 2.31
S12 0.2500 0.3906 0.9403  1 Zn 2.36
Zn1 0.7500 0.7438 0.2036  4 S 2.31-2.44
Zn2 0.7500 0.2438 0.2964  4 S 2.31-2.44
Zn3 0.2500 0.7562 0.7036  4 S 2.31-2.44
Zn4 0.2500 0.2562 0.7964  4 S 2.31-2.44

The value obtained for the magnetic moment is 0.00 μB/atom. The value obtained for the final energy is -4.771 eV per atom.


[6]
First-principles (PBE) data for an optimized crystal structure of BeNb2Tl, as listed in the Open Quantum Materials Database.

Cell: 4.6477 4.6477 4.6477 Å, 60.00 60.00 60.00°
Last column: nearest neighbours and their distance in Å.
Element x y z (fractional)
Be1 0.2500 0.2500 0.2500  4 Tl 2.85, 4 Nb 2.85
Nb1 0.0000 0.0000 0.0000  4 Nb 2.85, 4 Be 2.85
Nb2 0.7500 0.7500 0.7500  4 Nb 2.85, 4 Tl 2.85
Tl1 0.5000 0.5000 0.5000  4 Nb 2.85, 4 Be 2.85

The value obtained for the magnetic moment is 0.00 μB/atom. The value obtained for the final energy is -5.913 eV per atom.


[7]
First-principles (PBE) data for an optimized crystal structure of HoZr3Tl2C2, as listed in the Open Quantum Materials Database.

Cell: 3.4275 3.4275 15.4054 Å, 90.00 90.00 120.00°
Last column: nearest neighbours and their distance in Å.
Element x y z (fractional)
C1 0.3333 0.6667 0.0117  3 Zr 2.29, 3 Ho 2.46
C2 0.3333 0.6667 0.4965  6 Zr 2.33
Ho1 0.0000 0.0000 0.9168  3 C 2.46
Tl1 0.0000 0.0000 0.2531  6 Zr 3.21-3.24, 6 Tl 3.43
Tl2 0.6667 0.3333 0.7421  3 Zr 3.23, 3 Ho 3.34, 6 Tl 3.43
Zr1 0.6667 0.3333 0.0868  3 C 2.29
Zr2 0.6667 0.3333 0.4169  3 C 2.33
Zr3 0.0000 0.0000 0.5761  3 C 2.33

The value obtained for the magnetic moment is 0.00 μB/atom. The value obtained for the final energy is -7.228 eV per atom.


[8]
First-principles (PBE) data for an optimized crystal structure of NaBeNi, as listed in the Open Quantum Materials Database.

Cell: 4.0121 4.0121 4.0121 Å, 60.00 60.00 60.00°
Last column: nearest neighbours and their distance in Å.
Element x y z (fractional)
Be1 0.0000 0.0000 0.0000  4 Na 2.46, 4 Ni 2.46
Na1 0.2500 0.2500 0.2500  4 Be 2.46
Ni1 0.7500 0.7500 0.7500  4 Be 2.46

The value obtained for the magnetic moment is 0.00 μB/atom. The value obtained for the final energy is -2.778 eV per atom. The relative energy among the computed polymorphs comes out at 0.0 kJ/mol of atoms.


[9]
First-principles (PBE) data for an optimized crystal structure of Cu2Ag3, as listed in the Open Quantum Materials Database.

Cell: 7.6392 7.6392 7.5313 Å, 104.31 104.31 21.45°
Last column: nearest neighbours and their distance in Å.
Element x y z (fractional)
Ag1 0.5973 0.5973 0.2675  5 Cu 2.70-2.77, 6 Ag 2.84-2.94
Ag2 0.8060 0.8060 0.3919  6 Cu 2.70-2.84, 5 Ag 2.80-2.88
Ag3 0.9984 0.9984 0.5021  4 Cu 2.77-2.78, 8 Ag 2.80-2.94
Ag4 0.1983 0.1983 0.5973  11 Ag 2.84-2.96, 1 Cu 2.94
Ag5 0.5968 0.5968 0.8297  5 Cu 2.70-2.85, 7 Ag 2.84-3.00
Ag6 0.8028 0.8028 0.9116  7 Cu 2.65-2.76, 4 Ag 2.84-2.87
Cu1 0.2074 0.2074 0.1047  8 Ag 2.69-2.71, 3 Cu 2.84-2.90
Cu2 0.4067 0.4067 0.1949  5 Cu 2.59-2.90, 7 Ag 2.71-2.77
Cu3 0.4009 0.4009 0.7095  4 Cu 2.60-2.84, 7 Ag 2.76-2.85
Cu4 0.9854 0.9854 0.9908  6 Cu 2.59-2.84, 5 Ag 2.65-2.72

The formation enthalpy at 0 K comes out at 1.78 kcal/mol of atoms. The value obtained for the final energy is -3.104 eV per atom. The relative energy among the computed polymorphs comes out at 4.3 kJ/mol of atoms.


[10]
First-principles (PBE) data for an optimized crystal structure of BaBOs, as listed in the Open Quantum Materials Database.

Cell: 4.5124 4.5124 4.5124 Å, 60.00 60.00 60.00°
Last column: nearest neighbours and their distance in Å.
Element x y z (fractional)
B1 0.2500 0.2500 0.2500  4 Os 2.76
Ba1 0.7500 0.7500 0.7500  4 Os 2.76
Os1 0.0000 0.0000 0.0000  4 Ba 2.76, 4 B 2.76

The value obtained for the magnetic moment is 0.14 μB/atom. The value obtained for the final energy is -4.827 eV per atom. The relative energy among the computed polymorphs comes out at 19.8 kJ/mol of atoms.


[11]
First-principles (PBE) data for an optimized crystal structure of DySiBi, as listed in the Open Quantum Materials Database.

Cell: 4.9182 4.9182 4.9182 Å, 60.00 60.00 60.00°
Last column: nearest neighbours and their distance in Å.
Element x y z (fractional)
Bi1 0.2500 0.2500 0.2500  4 Si 3.01
Dy1 0.7500 0.7500 0.7500  4 Si 3.01
Si1 0.0000 0.0000 0.0000  4 Bi 3.01, 4 Dy 3.01

The value obtained for the magnetic moment is 0.00 μB/atom. The value obtained for the final energy is -4.794 eV per atom. The relative energy among the computed polymorphs comes out at 0.0 kJ/mol of atoms.


Repeat the sixth record exactly.
First-principles (PBE) data for an optimized crystal structure of BeNb2Tl, as listed in the Open Quantum Materials Database.

Cell: 4.6477 4.6477 4.6477 Å, 60.00 60.00 60.00°
Last column: nearest neighbours and their distance in Å.
Element x y z (fractional)
Be1 0.2500 0.2500 0.2500  4 Tl 2.85, 4 Nb 2.85
Nb1 0.0000 0.0000 0.0000  4 Nb 2.85, 4 Be 2.85
Nb2 0.7500 0.7500 0.7500  4 Nb 2.85, 4 Tl 2.85
Tl1 0.5000 0.5000 0.5000  4 Nb 2.85, 4 Be 2.85

The value obtained for the magnetic moment is 0.00 μB/atom. The value obtained for the final energy is -5.913 eV per atom.


What is the final energy in the eleventh record? -4.794 eV per atom


final energy of number 1 (SiPdNO)? -7.099 eV per atom


Repeat the fifth record exactly.
First-principles (PBE) data for an optimized crystal structure of RbLaZnS3, as listed in the Open Quantum Materials Database.

Cell: 4.2836 11.4439 12.4326 Å, 90.00 90.00 90.00°
Last column: nearest neighbours and their distance in Å.
Element x y z (fractional)
La1 0.2500 0.4802 0.1706  7 S 2.89-3.10
La2 0.2500 0.9802 0.3294  7 S 2.89-3.10
La3 0.7500 0.0198 0.6706  7 S 2.89-3.10
La4 0.7500 0.5198 0.8294  7 S 2.89-3.10
Rb1 0.7500 0.1650 0.0072  7 S 3.30-3.46, 2 Zn 3.54
Rb2 0.7500 0.6650 0.4928  7 S 3.30-3.46, 2 Zn 3.54
Rb3 0.2500 0.3350 0.5072  7 S 3.30-3.46, 2 Zn 3.54
Rb4 0.2500 0.8350 0.9928  7 S 3.30-3.46, 2 Zn 3.54
S1 0.7500 0.6094 0.0597  1 Zn 2.36
S2 0.7500 0.9439 0.1773  1 Zn 2.31
S3 0.2500 0.2124 0.2075  2 Zn 2.44
S4 0.2500 0.7124 0.2925  2 Zn 2.44
S5 0.7500 0.4439 0.3227  1 Zn 2.31
S6 0.7500 0.1094 0.4403  1 Zn 2.36
S7 0.2500 0.8906 0.5597  1 Zn 2.36
S8 0.2500 0.5561 0.6773  1 Zn 2.31
S9 0.7500 0.2875 0.7075  2 Zn 2.44
S10 0.7500 0.7876 0.7925  2 Zn 2.44
S11 0.2500 0.0561 0.8227  1 Zn 2.31
S12 0.2500 0.3906 0.9403  1 Zn 2.36
Zn1 0.7500 0.7438 0.2036  4 S 2.31-2.44
Zn2 0.7500 0.2438 0.2964  4 S 2.31-2.44
Zn3 0.2500 0.7562 0.7036  4 S 2.31-2.44
Zn4 0.2500 0.2562 0.7964  4 S 2.31-2.44

The value obtained for the magnetic moment is 0.00 μB/atom. The value obtained for the final energy is -4.771 eV per atom.